[1]
Entry from Alexandria: crystalline BeHgPd2W at its relaxed geometry (GGA-PBE).

Its formation energy is 2.213 eV per atom. The total energy comes out at -3.2602 eV per atom. The calculation puts the total magnetic moment at 0.00 μB/f.u.

The space group is P4/mmm (No. 123) and the conventional cell measures 4.9507, 4.9507 and 4.9952 Å, with angles of 90.00, 90.00 and 90.00 degrees. The distinct sites, in fractional coordinates, are Be at (0.0000, 0.0000, 0.0000), Hg at (0.5000, 0.5000, 0.5000), Pd at (0.0000, 0.5000, 0.5000) and W at (0.5000, 0.5000, 0.0000).

[2]
Entry from Alexandria: crystalline CaLaCd2 at its relaxed geometry (GGA-PBE).

Its formation energy is -0.161 eV per atom. The total energy comes out at -2.3511 eV per atom. The calculation puts the relative energy among the computed polymorphs at 219 meV per atom. The calculation puts the total magnetic moment at 0.00 μB/f.u.

The space group is I-4m2 (No. 119) and the conventional cell measures 4.8268, 4.8268 and 10.0233 Å, with angles of 90.00, 90.00 and 90.00 degrees. The distinct sites, in fractional coordinates, are Ca at (0.0000, 0.0000, 0.0000), La at (0.0000, 0.5000, 0.2500), Cd at (0.0000, 0.0000, 0.5000) and Cd at (0.0000, 0.5000, 0.7500).

[3]
Entry from Alexandria: crystalline TaBe2Hg at its relaxed geometry (GGA-PBE).

Its formation energy is 0.674 eV per atom. The total energy comes out at -4.2275 eV per atom. The calculation puts the total magnetic moment at 0.00 μB/f.u.

The space group is I-42d (No. 122) and the conventional cell measures 6.5687, 6.5687 and 5.6215 Å, with angles of 90.00, 90.00 and 90.00 degrees. The distinct sites, in fractional coordinates, are Ta at (0.0000, 0.0000, 0.0000), Be at (0.2357, 0.7500, 0.6250) and Hg at (0.0000, 0.0000, 0.5000).

[4]
Entry from Alexandria: crystalline Na3Nd3BiO8 at its relaxed geometry (GGA-PBE).

The total energy comes out at -6.4039 eV per atom. The calculation puts the formation energy from raw total energies at -2.283 eV/atom. The calculation puts the total magnetic moment at 0.00 μB/f.u.

The space group is R-3m (No. 166, hexagonal axes) and the conventional cell measures 7.1496, 7.1496 and 16.9177 Å, with angles of 90.00, 90.00 and 120.00 degrees. The distinct sites, in fractional coordinates, are Na at (0.0000, 0.5000, 0.0000), Nd at (0.0000, 0.5000, 0.5000), Bi at (0.0000, 0.0000, 0.5000), O at (0.0000, 0.0000, 0.2372) and O at (0.0179, 0.5089, 0.2366).

[5]
Entry from Alexandria: crystalline Na2NbVBi at its relaxed geometry (GGA-PBE).

Its formation energy is 1.088 eV per atom. The total energy comes out at -4.0536 eV per atom. The calculation puts the total magnetic moment at 1.30 μB/f.u.

The space group is P4/mmm (No. 123) and the conventional cell measures 5.4255, 5.4255 and 4.5894 Å, with angles of 90.00, 90.00 and 90.00 degrees. The distinct sites, in fractional coordinates, are Na at (0.0000, 0.5000, 0.0000), Nb at (0.0000, 0.0000, 0.5000), V at (0.0000, 0.0000, 0.0000) and Bi at (0.5000, 0.5000, 0.5000).

[6]
Entry from Alexandria: crystalline CsAu2Br at its relaxed geometry (GGA-PBE).

The total energy comes out at -2.0129 eV per atom. The calculation puts the formation energy from raw total energies at 0.257 eV/atom. The calculation puts the total magnetic moment at 0.00 μB/f.u.

The space group is Fm-3m (No. 225) and the conventional cell measures 7.8968, 7.8968 and 7.8968 Å, with angles of 90.00, 90.00 and 90.00 degrees. The distinct sites, in fractional coordinates, are Cs at (0.0000, 0.0000, 0.0000), Au at (0.2500, 0.2500, 0.2500) and Br at (0.0000, 0.0000, 0.5000).

[7]
Entry from Alexandria: crystalline Y2InSe at its relaxed geometry (GGA-PBE).

The total energy comes out at -5.6047 eV per atom. The calculation puts the relative energy among the computed polymorphs at 321 meV per atom. The calculation puts the formation energy from raw total energies at -0.817 eV/atom. The calculation puts the total magnetic moment at 0.00 μB/f.u.

The space group is C2/m (No. 12) and the conventional cell measures 7.4478, 7.8344 and 3.5967 Å, with angles of 90.00, 99.91 and 90.00 degrees. The distinct sites, in fractional coordinates, are Y at (0.2500, 0.2500, 0.0000), In at (0.0000, 0.0000, 0.5000) and Se at (0.0000, 0.5000, 0.5000).

[8]
Entry from Alexandria: crystalline Gd2ErSb at its relaxed geometry (GGA-PBE).

The total energy comes out at -9.5273 eV per atom. The calculation puts the relative energy among the computed polymorphs at 199 meV per atom. The calculation puts the formation energy from raw total energies at -0.316 eV/atom. The calculation puts the total magnetic moment at 15.89 μB/f.u.

The space group is R-3m (No. 166, hexagonal axes) and the conventional cell measures 3.9813, 3.9813 and 29.1993 Å, with angles of 90.00, 90.00 and 120.00 degrees. The distinct sites, in fractional coordinates, are Gd at (0.0000, 0.0000, 0.2351), Er at (0.0000, 0.0000, 0.0000) and Sb at (0.0000, 0.0000, 0.5000).

[9]
Entry from Alexandria: crystalline MgZn3Cd3 at its relaxed geometry (GGA-PBE).

Its formation energy is 0.464 eV per atom. The total energy comes out at -0.7021 eV per atom. The calculation puts the total magnetic moment at 0.00 μB/f.u.

The space group is Pm-3n (No. 223) and the conventional cell measures 7.4845, 7.4845 and 7.4845 Å, with angles of 90.00, 90.00 and 90.00 degrees. The distinct sites, in fractional coordinates, are Mg at (0.0000, 0.0000, 0.0000), Zn at (0.0000, 0.2500, 0.5000) and Cd at (0.0000, 0.5000, 0.2500).

[10]
Entry from Alexandria: crystalline Lu2TePd at its relaxed geometry (GGA-PBE).

The total energy comes out at -4.5952 eV per atom. The calculation puts the relative energy among the computed polymorphs at 627 meV per atom. The calculation puts the formation energy from raw total energies at -0.251 eV/atom. The calculation puts the total magnetic moment at 0.00 μB/f.u.

The space group is R-3m (No. 166, hexagonal axes) and the conventional cell measures 3.7193, 3.7193 and 28.1062 Å, with angles of 90.00, 90.00 and 120.00 degrees. The distinct sites, in fractional coordinates, are Lu at (0.0000, 0.0000, 0.0914), Te at (0.0000, 0.0000, 0.5000) and Pd at (0.0000, 0.0000, 0.0000).

[11]
Entry from Alexandria: crystalline RbTlCdBr6 at its relaxed geometry (GGA-PBE).

The total energy comes out at -2.4803 eV per atom. The calculation puts the formation energy from raw total energies at -0.893 eV/atom. The calculation puts the total magnetic moment at 0.00 μB/f.u.

The space group is P312 (No. 149) and the conventional cell measures 7.2684, 7.2684 and 7.6654 Å, with angles of 90.00, 90.00 and 120.00 degrees. The distinct sites, in fractional coordinates, are Rb at (0.0000, 0.0000, 0.0000), Tl at (0.6667, 0.3333, 0.5000), Cd at (0.3333, 0.6667, 0.5000) and Br at (0.3754, 0.0007, 0.7135).

[12]
Entry from Alexandria: crystalline PmHoAlTl at its relaxed geometry (GGA-PBE).

Its formation energy is -0.364 eV per atom. The total energy comes out at -4.2230 eV per atom. The calculation puts the relative energy among the computed polymorphs at 0 meV per atom. The calculation puts the total magnetic moment at 0.00 μB/f.u.

The space group is P4mm (No. 99) and the conventional cell measures 3.6884, 3.6884 and 7.7117 Å, with angles of 90.00, 90.00 and 90.00 degrees. The distinct sites, in fractional coordinates, are Pm at (0.0000, 0.0000, 0.0000), Ho at (0.0000, 0.0000, 0.4718), Al at (0.5000, 0.5000, 0.2452) and Tl at (0.5000, 0.5000, 0.7238).

[13]
Entry from Alexandria: crystalline La5Pr2Ho12 at its relaxed geometry (GGA-PBE).

Its formation energy is 0.122 eV per atom. The total energy comes out at -4.5694 eV per atom. The calculation puts the total magnetic moment at 0.00 μB/f.u.

The space group is P-1 (No. 2) and the conventional cell measures 6.4976, 9.6012 and 11.3105 Å, with angles of 68.45, 84.03 and 76.01 degrees. The distinct sites, in fractional coordinates, are La at (0.0000, 0.0000, 0.0000), La at (0.2075, 0.3636, 0.5957), La at (0.3201, 0.6641, 0.9165), Pr at (0.2965, 0.1202, 0.4348), Ho at (0.0235, 0.9947, 0.7073), Ho at (0.1297, 0.3832, 0.1812), Ho at (0.2561, 0.3063, 0.9120), Ho at (0.2629, 0.7178, 0.5755), Ho at (0.3052, 0.6417, 0.2760) and Ho at (0.4865, 0.9937, 0.1739).

[14]
Entry from Alexandria: crystalline Mg2Ru at its relaxed geometry (GGA-PBE).

Its formation energy is 0.421 eV per atom. The total energy comes out at -3.7344 eV per atom. The calculation puts the total magnetic moment at 0.19 μB/f.u.

The space group is Fm-3m (No. 225) and the conventional cell measures 6.2297, 6.2297 and 6.2297 Å, with angles of 90.00, 90.00 and 90.00 degrees. The distinct sites, in fractional coordinates, are Mg at (0.2500, 0.2500, 0.2500) and Ru at (0.0000, 0.0000, 0.0000).

[15]
Entry from Alexandria: crystalline Sr2CuGeO5 at its relaxed geometry (GGA-PBE).

The total energy comes out at -6.0205 eV per atom. The calculation puts the formation energy from raw total energies at -1.924 eV/atom. The calculation puts the total magnetic moment at 0.00 μB/f.u.

The space group is Cmc2_1 (No. 36) and the conventional cell measures 3.7922, 12.6538 and 12.4785 Å, with angles of 90.00, 90.00 and 90.00 degrees. The distinct sites, in fractional coordinates, are Sr at (0.0000, 0.1034, 0.0000), Sr at (0.0000, 0.1298, 0.2846), Cu at (0.0000, 0.2290, 0.6252), Ge at (0.0000, 0.3755, 0.9945), O at (0.0000, 0.1022, 0.5368), O at (0.0000, 0.2755, 0.8934), O at (0.0000, 0.2895, 0.1193), O at (0.0000, 0.3780, 0.6498) and O at (0.0000, 0.4952, 0.9161).

[16]
Entry from Alexandria: crystalline Pm2PuZn at its relaxed geometry (GGA-PBE).

Its formation energy is 0.240 eV per atom. The total energy comes out at -6.0371 eV per atom. The calculation puts the relative energy among the computed polymorphs at 290 meV per atom. The calculation puts the total magnetic moment at 6.43 μB/f.u.

The space group is R-3m (No. 166, hexagonal axes) and the conventional cell measures 3.4499, 3.4499 and 34.4037 Å, with angles of 90.00, 90.00 and 120.00 degrees. The distinct sites, in fractional coordinates, are Pm at (0.0000, 0.0000, 0.0982), Pu at (0.0000, 0.0000, 0.0000) and Zn at (0.0000, 0.0000, 0.5000).

[17]
Entry from Alexandria: crystalline CsNa2CaMg at its relaxed geometry (GGA-PBE).

Its formation energy is 0.607 eV per atom. The total energy comes out at -0.8103 eV per atom. The calculation puts the total magnetic moment at 0.00 μB/f.u.

The space group is P4/mmm (No. 123) and the conventional cell measures 6.8029, 6.8029 and 7.9231 Å, with angles of 90.00, 90.00 and 90.00 degrees. The distinct sites, in fractional coordinates, are Cs at (0.0000, 0.0000, 0.0000), Na at (0.0000, 0.5000, 0.5000), Ca at (0.0000, 0.0000, 0.5000) and Mg at (0.5000, 0.5000, 0.0000).

[18]
Entry from Alexandria: crystalline LiEuDyOs at its relaxed geometry (GGA-PBE).

Its formation energy is -0.002 eV per atom. The total energy comes out at -7.0066 eV per atom. The calculation puts the total magnetic moment at 6.85 μB/f.u.

The space group is F-43m (No. 216) and the conventional cell measures 7.0159, 7.0159 and 7.0159 Å, with angles of 90.00, 90.00 and 90.00 degrees. The distinct sites, in fractional coordinates, are Li at (0.0000, 0.0000, 0.0000), Eu at (0.2500, 0.2500, 0.7500), Dy at (0.2500, 0.2500, 0.2500) and Os at (0.0000, 0.0000, 0.5000).

[19]
Entry from Alexandria: crystalline Ac12Ir5I3 at its relaxed geometry (GGA-PBE).

The total energy comes out at -5.3354 eV per atom. The calculation puts the formation energy from raw total energies at -0.423 eV/atom. The calculation puts the total magnetic moment at 0.00 μB/f.u.

The space group is Ia-3d (No. 230) and the conventional cell measures 18.8198, 18.8198 and 18.8198 Å, with angles of 90.00, 90.00 and 90.00 degrees. The distinct sites, in fractional coordinates, are Ac at (0.0350, 0.0543, 0.6440), Ir at (0.0000, 0.0000, 0.0000), Ir at (0.0000, 0.2500, 0.3750) and I at (0.0000, 0.2500, 0.1250).

[20]
Entry from Alexandria: crystalline MgBiIrPd2 at its relaxed geometry (GGA-PBE).

Its formation energy is 0.787 eV per atom. The total energy comes out at -4.1573 eV per atom. The calculation puts the total magnetic moment at 0.00 μB/f.u.

The space group is P4/mmm (No. 123) and the conventional cell measures 5.0164, 5.0164 and 5.0283 Å, with angles of 90.00, 90.00 and 90.00 degrees. The distinct sites, in fractional coordinates, are Mg at (0.0000, 0.0000, 0.0000), Bi at (0.5000, 0.5000, 0.5000), Ir at (0.5000, 0.5000, 0.0000) and Pd at (0.0000, 0.5000, 0.5000).